Crystalline Ac4PrIr3 at its relaxed geometry. Source: Alexandria, functional GGA-PBE.

Lattice parameters (Å, degrees): 8.0897 8.0897 11.0183 110.19 110.19 55.69
With the nearest neighbours (Å) after each atom.
Element x y z (fractional)
Ac 0.0233 0.3532 0.4164  4 Ir 3.00-3.04
Ac 0.1635 0.8365 0.5000  4 Ir 2.98-3.06
Ac 0.3532 0.0233 0.9164  4 Ir 3.00-3.04
Ac 0.4185 0.7663 0.2050  4 Ir 3.03-3.06
Ac 0.6161 0.9626 0.6059  3 Ir 2.94-2.97
Ac 0.7663 0.4185 0.7050  4 Ir 3.03-3.06
Ac 0.8365 0.1635 0.0000  4 Ir 2.98-3.06
Ac 0.9626 0.6161 0.1059  3 Ir 2.94-2.97
Pr 0.2254 0.5737 0.8061  3 Ir 2.90-2.91
Pr 0.5737 0.2254 0.3061  3 Ir 2.90-2.91
Ir 0.2042 0.2045 0.1740  1 Pr 2.91, 5 Ac 2.97-3.06
Ir 0.2045 0.2042 0.6740  1 Pr 2.91, 5 Ac 2.97-3.06
Ir 0.5906 0.5915 0.4544  1 Pr 2.90, 5 Ac 2.97-3.05
Ir 0.5915 0.5906 0.9544  1 Pr 2.90, 5 Ac 2.97-3.05
Ir 0.9786 0.9912 0.2435  1 Pr 2.91, 5 Ac 2.94-3.06
Ir 0.9912 0.9786 0.7435  1 Pr 2.91, 5 Ac 2.94-3.06

crystal system	monoclinic
SG	No. 9
energy of formation	-0.5868	eV per atom
total magnetization	0.00	μB/cell


Crystalline LiAc2Sn3Pt4 at its relaxed geometry. Source: Alexandria, functional GGA-PBE.

Lattice parameters (Å, degrees): 4.6343 4.6343 10.8105 90.00 90.00 90.00
With the nearest neighbours (Å) after each atom.
Element x y z (fractional)
Li 0.0000 0.0000 0.0000  4 Pt 2.70
Ac 0.0000 0.5000 0.7509  8 Pt 3.53-3.57, 6 Sn 3.54-3.55, 2 Li 3.55
Ac 0.5000 0.0000 0.2491  8 Pt 3.53-3.57, 6 Sn 3.54-3.55, 2 Li 3.55
Sn 0.0000 0.5000 0.3731  5 Pt 2.64-2.69
Sn 0.5000 0.0000 0.6269  5 Pt 2.64-2.69
Sn 0.5000 0.5000 0.0000  4 Pt 2.70
Pt 0.0000 0.0000 0.5000  4 Sn 2.69
Pt 0.0000 0.5000 0.1288  3 Sn 2.64-2.70, 2 Li 2.70
Pt 0.5000 0.0000 0.8712  3 Sn 2.64-2.70, 2 Li 2.70
Pt 0.5000 0.5000 0.5000  4 Sn 2.69

crystal system	tetragonal
SG	No. 115
energy of formation	-0.8799	eV per atom
total magnetization	0.00	μB/cell


Crystalline Sc4CdTc at its relaxed geometry. Source: Alexandria, functional GGA-PBE.

Lattice parameters (Å, degrees): 3.3110 3.3110 11.8177 90.00 90.00 90.00
With the nearest neighbours (Å) after each atom.
Element x y z (fractional)
Sc 0.0000 0.0000 0.1263  4 Tc 2.78, 1 Sc 2.99
Sc 0.0000 0.0000 0.8737  4 Tc 2.78, 1 Sc 2.99
Sc 0.5000 0.5000 0.3300  4 Cd 3.08, 8 Sc 3.31-3.36
Sc 0.5000 0.5000 0.6700  4 Cd 3.08, 8 Sc 3.31-3.36
Cd 0.0000 0.0000 0.5000  8 Sc 3.08, 4 Cd 3.31
Tc 0.5000 0.5000 0.0000  8 Sc 2.78

crystal system	tetragonal
SG	No. 123
energy of formation	-0.1598	eV per atom
offset from the most stable computed form	0.0	meV per atom
total magnetization	0.52	μB/cell


Crystalline InSbCl at its relaxed geometry. Source: Alexandria, functional GGA-PBE.

Lattice parameters (Å, degrees): 7.9225 7.9225 7.9225 149.32 71.74 116.96
With the nearest neighbours (Å) after each atom.
Element x y z (fractional)
In 0.2337 0.2500 0.4837  2 Cl 2.83, 2 Sb 3.06-3.08
In 0.7663 0.7500 0.5163  2 Cl 2.83, 2 Sb 3.06-3.08
Sb 0.6454 0.4710 0.6745  2 Sb 2.86, 2 In 3.06-3.08
Sb 0.7965 0.9710 0.3255  2 Sb 2.86, 2 In 3.06-3.08
Cl 0.0360 0.4585 0.0775  2 In 2.83
Cl 0.3811 0.9585 0.9225  2 In 2.83

crystal system	orthorhombic
SG	No. 46
formation energy without anion corrections	-403	meV per atom
offset from the most stable computed form	14.8	meV per atom
total magnetization	0.00	μB/cell


Crystalline Cu4Os3 at its relaxed geometry. Source: Alexandria, functional GGA-PBE.

Lattice parameters (Å, degrees): 12.6885 12.6885 12.6885 167.74 167.74 17.37
With the nearest neighbours (Å) after each atom.
Element x y z (fractional)
Cu 0.0727 0.0727 0.0000  8 Cu 2.54-2.71, 4 Os 2.65
Cu 0.3606 0.3606 0.0000  8 Cu 2.54-2.71, 4 Os 2.68
Cu 0.6394 0.6394 0.0000  8 Cu 2.54-2.71, 4 Os 2.68
Cu 0.9273 0.9273 0.0000  8 Cu 2.54-2.71, 4 Os 2.65
Os 0.2142 0.2142 0.0000  8 Os 2.62-2.71, 4 Cu 2.68
Os 0.5000 0.5000 0.0000  8 Cu 2.65, 4 Os 2.71
Os 0.7858 0.7858 0.0000  8 Os 2.62-2.71, 4 Cu 2.68

crystal system	tetragonal
SG	No. 139
energy of formation	0.2811	eV per atom
offset from the most stable computed form	0.0	meV per atom
total magnetization	0.00	μB/cell


Crystalline YAl2Cu at its relaxed geometry. Source: Alexandria, functional GGA-PBE.

Lattice parameters (Å, degrees): 15.6239 6.8128 5.5292 90.00 90.00 90.00
With the nearest neighbours (Å) after each atom.
Element x y z (fractional)
Y 0.1098 0.2500 0.2398  3 Cu 2.88-3.12, 4 Al 3.06-3.07
Y 0.1439 0.7500 0.4740  3 Cu 2.90-3.16, 6 Al 3.03-3.21
Y 0.3561 0.2500 0.9740  3 Cu 2.90-3.16, 6 Al 3.03-3.21
Y 0.3902 0.7500 0.7398  3 Cu 2.88-3.12, 4 Al 3.06-3.07
Y 0.6098 0.2500 0.2602  3 Cu 2.88-3.12, 4 Al 3.06-3.07
Y 0.6439 0.7500 0.0260  3 Cu 2.90-3.16, 6 Al 3.03-3.21
Y 0.8561 0.2500 0.5260  3 Cu 2.90-3.16, 6 Al 3.03-3.21
Y 0.8902 0.7500 0.7602  3 Cu 2.88-3.12, 4 Al 3.06-3.07
Al 0.0343 0.0530 0.7457  3 Cu 2.54-2.59, 1 Al 2.68
Al 0.0343 0.4470 0.7457  3 Cu 2.54-2.59, 1 Al 2.68
Al 0.2155 0.5557 0.9623  3 Cu 2.54-2.63, 1 Al 2.65
Al 0.2155 0.9443 0.9623  3 Cu 2.54-2.63, 1 Al 2.65
Al 0.2845 0.0557 0.4623  3 Cu 2.54-2.63, 1 Al 2.65
Al 0.2845 0.4443 0.4623  3 Cu 2.54-2.63, 1 Al 2.65
Al 0.4657 0.5530 0.2457  3 Cu 2.54-2.59, 1 Al 2.68
Al 0.4657 0.9470 0.2457  3 Cu 2.54-2.59, 1 Al 2.68
Al 0.5343 0.0530 0.7543  3 Cu 2.54-2.59, 1 Al 2.68
Al 0.5343 0.4470 0.7543  3 Cu 2.54-2.59, 1 Al 2.68
Al 0.7155 0.5557 0.5377  3 Cu 2.54-2.63, 1 Al 2.65
Al 0.7155 0.9443 0.5377  3 Cu 2.54-2.63, 1 Al 2.65
Al 0.7845 0.0557 0.0377  3 Cu 2.54-2.63, 1 Al 2.65
Al 0.7845 0.4443 0.0377  3 Cu 2.54-2.63, 1 Al 2.65
Al 0.9657 0.5530 0.2543  3 Cu 2.54-2.59, 1 Al 2.68
Al 0.9657 0.9470 0.2543  3 Cu 2.54-2.59, 1 Al 2.68
Cu 0.0726 0.7500 0.9904  6 Al 2.54-2.60
Cu 0.1737 0.2500 0.7283  6 Al 2.54-2.63
Cu 0.3263 0.7500 0.2283  6 Al 2.54-2.63
Cu 0.4274 0.2500 0.4904  6 Al 2.54-2.60
Cu 0.5726 0.7500 0.5096  6 Al 2.54-2.60
Cu 0.6737 0.2500 0.7717  6 Al 2.54-2.63
Cu 0.8263 0.7500 0.2717  6 Al 2.54-2.63
Cu 0.9274 0.2500 0.0096  6 Al 2.54-2.60

crystal system	orthorhombic
SG	No. 62
energy of formation	-0.4445	eV per atom
total magnetization	0.00	μB/cell


Crystalline Rb3TeRu at its relaxed geometry. Source: Alexandria, functional GGA-PBE.

Lattice parameters (Å, degrees): 6.9449 6.9449 6.9449 90.00 90.00 90.00
With the nearest neighbours (Å) after each atom.
Element x y z (fractional)
Rb 0.0000 0.0000 0.5000  2 Te 3.47
Rb 0.0000 0.5000 0.0000  2 Te 3.47
Rb 0.5000 0.0000 0.0000  2 Te 3.47
Te 0.0000 0.0000 0.0000  6 Rb 3.47
Ru 0.5000 0.5000 0.5000  12 Rb 4.91

crystal system	cubic
SG	No. 221
formation energy without anion corrections	545	meV per atom
offset from the most stable computed form	0.0	meV per atom
total magnetization	3.00	μB/cell


Crystalline Ho2PuHf at its relaxed geometry. Source: Alexandria, functional GGA-PBE.

Lattice parameters (Å, degrees): 11.2019 11.2019 11.2019 17.42 17.42 17.42
With the nearest neighbours (Å) after each atom.
Element x y z (fractional)
Ho 0.0000 0.0000 0.0000  3 Hf 3.28, 6 Ho 3.39, 3 Pu 3.50
Ho 0.1582 0.1582 0.1582  3 Hf 3.26, 6 Ho 3.39, 3 Pu 3.50
Pu 0.5791 0.5791 0.5791  6 Pu 3.39, 6 Ho 3.50
Hf 0.4129 0.4129 0.4129  6 Ho 3.26-3.28, 6 Hf 3.39

crystal system	trigonal
SG	No. 160
energy of formation	0.1567	eV per atom
offset from the most stable computed form	0.0	meV per atom
total magnetization	6.12	μB/cell


Crystalline ScTlFe2Pd at its relaxed geometry. Source: Alexandria, functional GGA-PBE.

Lattice parameters (Å, degrees): 4.7019 4.7019 5.2275 90.00 90.00 90.00
With the nearest neighbours (Å) after each atom.
Element x y z (fractional)
Sc 0.0000 0.0000 0.0000  2 Tl 2.61
Tl 0.0000 0.0000 0.5000  4 Fe 2.35, 2 Sc 2.61
Fe 0.0000 0.5000 0.5000  2 Tl 2.35
Fe 0.5000 0.0000 0.5000  2 Tl 2.35
Pd 0.5000 0.5000 0.0000  4 Sc 3.32, 8 Fe 3.52

crystal system	tetragonal
SG	No. 123
energy of formation	1.6972	eV per atom
total magnetization	0.36	μB/cell


Crystalline ZrHS at its relaxed geometry. Source: Alexandria, functional GGA-PBE.

Lattice parameters (Å, degrees): 4.7270 4.7270 4.7270 141.02 141.02 56.30
With the nearest neighbours (Å) after each atom.
Element x y z (fractional)
Zr 0.0000 0.0000 0.0000  4 H 2.38, 1 S 2.65
H 0.4017 0.4017 0.0000  1 S 2.33, 4 Zr 2.38
S 0.6816 0.6816 0.0000  1 H 2.33

crystal system	tetragonal
SG	No. 107
total magnetization	0.00	μB/cell


Crystalline ScIBr3 at its relaxed geometry. Source: Alexandria, functional GGA-PBE.

Lattice parameters (Å, degrees): 6.7443 6.7907 11.0718 90.05 98.79 119.60
With the nearest neighbours (Å) after each atom.
Element x y z (fractional)
Sc 0.1665 0.3325 0.0001  6 Br 2.66-2.67
Sc 0.8335 0.6675 0.9999  6 Br 2.66-2.67
I 0.3629 0.0926 0.4960  1 I 2.69
I 0.6371 0.9074 0.5040  1 I 2.69
Br 0.0954 0.9764 0.8595  2 Sc 2.67
Br 0.1860 0.6613 0.1422  2 Sc 2.66-2.67
Br 0.4512 0.6151 0.8581  2 Sc 2.66-2.67
Br 0.5488 0.3849 0.1419  2 Sc 2.66-2.67
Br 0.8140 0.3387 0.8578  2 Sc 2.66-2.67
Br 0.9046 0.0236 0.1405  2 Sc 2.67

crystal system	triclinic
SG	No. 2
formation energy without anion corrections	-1337	meV per atom
offset from the most stable computed form	0.0	meV per atom
total magnetization	0.00	μB/cell


Crystalline La2Y3Se8 at its relaxed geometry. Source: Alexandria, functional GGA-PBE.

Lattice parameters (Å, degrees): 8.4333 8.4333 7.0895 106.79 106.79 59.81
With the nearest neighbours (Å) after each atom.
Element x y z (fractional)
La 0.2378 0.2378 0.1602  6 Se 2.97-3.04
La 0.7622 0.7622 0.8398  6 Se 2.97-3.04
Y 0.2390 0.7610 0.5000  6 Se 2.83-2.92
Y 0.5000 0.5000 0.0000  6 Se 2.83-2.89
Y 0.7610 0.2390 0.5000  6 Se 2.83-2.92
Se 0.1217 0.1217 0.4340  2 Y 2.83, 1 La 2.97
Se 0.1470 0.6154 0.0895  2 Y 2.83-2.86, 2 La 3.02-3.04
Se 0.3846 0.8530 0.9105  2 Y 2.83-2.86, 2 La 3.02-3.04
Se 0.3863 0.3863 0.5795  3 Y 2.89-2.92, 1 La 3.04
Se 0.6137 0.6137 0.4205  3 Y 2.89-2.92, 1 La 3.04
Se 0.6154 0.1470 0.0895  2 Y 2.83-2.86, 2 La 3.02-3.04
Se 0.8530 0.3846 0.9105  2 Y 2.83-2.86, 2 La 3.02-3.04
Se 0.8783 0.8783 0.5660  2 Y 2.83, 1 La 2.97

crystal system	monoclinic
SG	No. 12
formation energy without anion corrections	-1794	meV per atom
total magnetization	0.00	μB/cell


no.,Fermi-level density of states (states/eV/cell),final energy (eV/atom)
1,8.2,-6.5613
2,6.0,-5.5101
3,7.3,-6.2610
4,1.9,-3.3052
5,6.5,-6.8723
6,12.2,-4.9559
7,4.2,-2.5194
8,11.1,-8.2035
9,9.4,-4.4660
10,1.5,-6.0575
11,0.0,-3.9174
12,7.0,-6.1881